[1]
Below is crystalline KLa2FeP at its relaxed geometry, with properties calculated at the PBE level.

Cell and atoms, written as extended XYZ:
```
5
Lattice="5.4650 0.0000 0.0000 0.0000 4.4844 0.0000 0.0000 0.0000 5.4650" Properties=species:S:1:pos:R:3 pbc="T T T"
Fe 0.0000 0.0000 0.0000
La 0.0000 0.0000 2.7325
La 2.7325 0.0000 0.0000
K 2.7325 2.2422 2.7325
P 0.0000 2.2422 0.0000
```

Results
Its calculated formation energy is -0.042 eV per atom. The density of states at the Fermi level comes out at 4.54 states/eV/cell. Its final energy is -5.007 eV per atom. The magnetic moment comes out at 0.00 μB/cell.

***

[2]
Below is crystalline KLaFe2Se at its relaxed geometry, with properties calculated at the PBE level.

Cell and atoms, written as extended XYZ:
```
5
Lattice="-0.8699 -4.1074 2.0306 4.4958 -2.7155 -3.5667 3.1760 0.9492 3.2806" Properties=species:S:1:pos:R:3 pbc="T T T"
Fe -0.4350 -2.0537 1.0153
Fe 1.5880 0.4746 1.6403
K 2.2479 -1.3578 -1.7833
La 0.0000 0.0000 0.0000
Se 3.4009 -2.9368 0.8723
```

Results
The density of states at the Fermi level comes out at 5.30 states/eV/cell. Its final energy is -4.159 eV per atom. The magnetic moment comes out at 3.62 μB/cell. The uncorrected formation energy is 1.13 eV per atom.

***

[3]
Below is crystalline KLa2VFe at its relaxed geometry, with properties calculated at the PBE level.

Cell and atoms, written as extended XYZ:
```
5
Lattice="5.5352 0.0000 0.0000 0.0000 4.2017 0.0000 0.0000 0.0000 5.5352" Properties=species:S:1:pos:R:3 pbc="T T T"
Fe 0.0000 2.1009 0.0000
V 2.7676 2.1009 2.7676
La 2.7676 0.0000 0.0000
La 0.0000 0.0000 2.7676
K 0.0000 0.0000 0.0000
```

Results
Its calculated formation energy is 1.891 eV per atom. The density of states at the Fermi level comes out at 9.72 states/eV/cell. Its final energy is -3.815 eV per atom. The magnetic moment comes out at 0.62 μB/cell.